# Na4SrPb5

Crystalline Na4SrPb5 at its relaxed geometry (GGA-PBE, the Alexandria database).

```
data_Na4SrPb5
_chemical_formula_sum 'Na4 Sr1 Pb5'
_cell_length_a 3.931
_cell_length_b 3.931
_cell_length_c 19.138
_cell_angle_alpha 90.00
_cell_angle_beta 90.00
_cell_angle_gamma 90.00
_space_group_name_H-M_alt 'P 4/m m m'
_space_group_IT_number 123
_space_group_name_Hall '-P 4 2'
loop_
_atom_site_label
_atom_site_fract_x
_atom_site_fract_y
_atom_site_fract_z
_atom_site_occupancy
Na1 0.000 0.000 0.097 1
Na2 0.000 0.000 0.289 1
Sr1 0.000 0.000 0.500 1
Pb1 0.500 0.500 0.000 1
Pb2 0.500 0.500 0.194 1
Pb3 0.500 0.500 0.382 1
```

DOS(E_F)	4.58	states/eV per cell
DFT formation energy	-0.20	eV/atom

***

# LiP2AuCl

Crystalline LiP2AuCl at its relaxed geometry (GGA-PBE, the Alexandria database).

```
data_LiP2AuCl
_chemical_formula_sum 'Li1 P2 Au1 Cl1'
_cell_length_a 4.518
_cell_length_b 4.518
_cell_length_c 4.443
_cell_angle_alpha 90.00
_cell_angle_beta 90.00
_cell_angle_gamma 90.00
_space_group_name_H-M_alt 'P 4/m m m'
_space_group_IT_number 123
_space_group_name_Hall '-P 4 2'
loop_
_atom_site_label
_atom_site_fract_x
_atom_site_fract_y
_atom_site_fract_z
_atom_site_occupancy
Li1 0.000 0.000 0.000 1
P1 0.000 0.500 0.000 1
Au1 0.500 0.500 0.500 1
Cl1 0.000 0.000 0.500 1
```

DOS(E_F)	3.82	states/eV per cell
uncorrected formation energy	0.67	eV/atom
polymorph energy (0 for the lowest one)	28.0	kJ/mol of atoms

***

# AsP2Os

Crystalline AsP2Os at its relaxed geometry (GGA-PBE, the Alexandria database).

```
data_AsP2Os
_chemical_formula_sum 'As4 P8 Os4'
_cell_length_a 6.167
_cell_length_b 6.167
_cell_length_c 6.167
_cell_angle_alpha 90.00
_cell_angle_beta 90.00
_cell_angle_gamma 90.00
_space_group_name_H-M_alt 'F -4 3 m'
_space_group_IT_number 216
_space_group_name_Hall 'F -4 2 3'
loop_
_atom_site_label
_atom_site_fract_x
_atom_site_fract_y
_atom_site_fract_z
_atom_site_occupancy
As1 0.000 0.000 0.000 1
P1 0.000 0.000 0.500 1
P2 0.250 0.250 0.750 1
Os1 0.250 0.250 0.250 1
```

DOS(E_F)	16.89	states/eV per cell
DFT formation energy	0.64	eV/atom